## i
DFT (GGA-PBE) results for SrGa4Au4 after structural relaxation.

Properties
Magnetization in μB/cell: 0.000
Symmetry: C2/m (12)

Geometry as extended XYZ:
```
9
Lattice="5.902 -2.369 0.000 5.902 2.369 0.000 -3.894 0.000 6.792" Properties=species:S:1:pos:R:3 pbc="T T T"
Sr 0.000 0.000 0.000
Ga -0.640 0.000 3.337
Ga 3.501 0.000 1.828
Ga 4.409 0.000 4.964
Ga 8.549 0.000 3.454
Au -0.496 0.000 5.976
Au 1.868 0.000 4.254
Au 6.042 0.000 2.537
Au 8.406 0.000 0.816
```

***

## ii
DFT (GGA-PBE) results for SrGa4Au4 after structural relaxation.

Properties
Magnetization in μB/cell: 0.000
Symmetry: P4_2/nmc (137)

Geometry as extended XYZ:
```
18
Lattice="6.562 0.000 0.000 0.000 6.562 0.000 0.000 0.000 8.824" Properties=species:S:1:pos:R:3 pbc="T T T"
Sr 1.641 4.922 2.206
Sr 4.922 1.641 6.618
Ga 0.119 1.641 1.177
Ga 1.641 0.119 5.588
Ga 1.641 3.162 5.588
Ga 3.162 1.641 1.177
Ga 3.400 4.922 7.647
Ga 4.922 3.400 3.235
Ga 4.922 6.444 3.235
Ga 6.444 4.922 7.647
Au 0.232 1.641 3.800
Au 1.641 0.232 8.212
Au 1.641 3.050 8.212
Au 3.050 1.641 3.800
Au 3.513 4.922 5.024
Au 4.922 3.513 0.612
Au 4.922 6.331 0.612
Au 6.331 4.922 5.024
```

***

Of them, the most stable is ii and the least stable is i.

***

## i
DFT (GGA-PBE) results for TaGa2Au after structural relaxation.

Properties
Magnetization in μB/cell: 0.000
Symmetry: P4/mmm (123)

Geometry as extended XYZ:
```
4
Lattice="2.868 0.000 0.000 0.000 2.868 0.000 0.000 0.000 8.232" Properties=species:S:1:pos:R:3 pbc="T T T"
Ta 0.000 0.000 0.000
Ga 1.434 1.434 2.012
Ga 1.434 1.434 6.220
Au 0.000 0.000 4.116
```

***

## ii
DFT (GGA-PBE) results for TaGa2Au after structural relaxation.

Properties
Magnetization in μB/cell: 0.000
Symmetry: P4/mmm (123)

Geometry as extended XYZ:
```
4
Lattice="4.190 0.000 0.000 0.000 4.190 0.000 0.000 0.000 3.793" Properties=species:S:1:pos:R:3 pbc="T T T"
Ta 0.000 0.000 0.000
Ga 0.000 2.095 1.896
Ga 2.095 0.000 1.896
Au 2.095 2.095 0.000
```

***

Of them, the most stable is ii and the least stable is i.

***

## i
DFT (GGA-PBE) results for TaGa2Au after structural relaxation.

Properties
Magnetization in μB/cell: 1.214
Symmetry: Fm-3m (225)

Geometry as extended XYZ:
```
16
Lattice="6.465 0.000 0.000 0.000 6.465 0.000 0.000 0.000 6.465" Properties=species:S:1:pos:R:3 pbc="T T T"
Ta 0.000 0.000 0.000
Ta 0.000 3.233 3.233
Ta 3.233 0.000 3.233
Ta 3.233 3.233 0.000
Ga 1.616 1.616 1.616
Ga 1.616 1.616 4.849
Ga 1.616 4.849 1.616
Ga 1.616 4.849 4.849
Ga 4.849 1.616 1.616
Ga 4.849 1.616 4.849
Ga 4.849 4.849 1.616
Ga 4.849 4.849 4.849
Au 0.000 0.000 3.233
Au 0.000 3.233 0.000
Au 3.233 0.000 0.000
Au 3.233 3.233 3.233
```

***

## ii
DFT (GGA-PBE) results for TaGa2Au after structural relaxation.

Properties
Magnetization in μB/cell: 0.000
Symmetry: I-42d (122)

Geometry as extended XYZ:
```
16
Lattice="7.139 0.000 0.000 0.000 7.139 0.000 0.000 0.000 5.742" Properties=species:S:1:pos:R:3 pbc="T T T"
Ta 0.000 0.000 0.000
Ta 0.000 3.570 1.436
Ta 3.570 0.000 4.307
Ta 3.570 3.570 2.871
Ga 1.673 1.785 3.589
Ga 1.785 5.243 5.024
Ga 1.785 5.466 2.153
Ga 1.896 1.785 0.718
Ga 5.243 5.355 0.718
Ga 5.355 1.673 2.153
Ga 5.355 1.896 5.024
Ga 5.466 5.355 3.589
Au 0.000 0.000 2.871
Au 0.000 3.570 4.307
Au 3.570 0.000 1.436
Au 3.570 3.570 0.000
```

***

## iii
DFT (GGA-PBE) results for TaGa2Au after structural relaxation.

Properties
Magnetization in μB/cell: 0.000
Symmetry: R3m (160)

Geometry as extended XYZ:
```
12
Lattice="2.987 0.000 0.000 -1.493 2.587 0.000 0.000 0.000 26.658" Properties=species:S:1:pos:R:3 pbc="T T T"
Ta 0.000 0.000 0.000
Ta 0.000 1.724 17.772
Ta 1.493 0.862 8.886
Ga 0.000 0.000 15.542
Ga 0.000 0.000 19.995
Ga 0.000 1.724 6.656
Ga 0.000 1.724 11.109
Ga 1.493 0.862 2.223
Ga 1.493 0.862 24.428
Au 0.000 0.000 4.394
Au 0.000 1.724 22.166
Au 1.493 0.862 13.280
```

***

## iv
DFT (GGA-PBE) results for TaGa2Au after structural relaxation.

Properties
Magnetization in μB/cell: 0.000
Symmetry: R-3m (166)

Geometry as extended XYZ:
```
12
Lattice="2.950 0.000 0.000 -1.475 2.555 0.000 0.000 0.000 29.008" Properties=species:S:1:pos:R:3 pbc="T T T"
Ta 0.000 0.000 0.000
Ta 0.000 1.703 19.339
Ta 1.475 0.852 9.669
Ga 0.000 0.000 11.925
Ga 0.000 0.000 17.083
Ga 0.000 1.703 2.255
Ga 0.000 1.703 7.414
Ga 1.475 0.852 21.594
Ga 1.475 0.852 26.753
Au 0.000 0.000 14.504
Au 0.000 1.703 4.835
Au 1.475 0.852 24.174
```

***

Of them, the most stable is iii and the least stable is ii.

***

## i
DFT (GGA-PBE) results for Tb2GaAu3 after structural relaxation.

Properties
Magnetization in μB/cell: 0.000
Symmetry: Pmm2 (25)

Geometry as extended XYZ:
```
6
Lattice="3.463 0.000 0.000 0.000 4.607 0.000 0.000 0.000 8.137" Properties=species:S:1:pos:R:3 pbc="T T T"
Tb 0.000 0.000 0.000
Tb 0.000 2.304 3.897
Ga 1.731 2.304 6.638
Au 1.731 0.000 2.683
Au 1.731 0.000 5.462
Au 1.731 2.304 1.114
```

***

## ii
DFT (GGA-PBE) results for Tb2GaAu3 after structural relaxation.

Properties
Magnetization in μB/cell: 0.000
Symmetry: Imm2 (44)

Geometry as extended XYZ:
```
12
Lattice="3.826 0.000 0.000 0.000 4.108 0.000 0.000 0.000 17.501" Properties=species:S:1:pos:R:3 pbc="T T T"
Tb 0.000 0.000 0.000
Tb 0.000 2.054 4.341
Tb 1.913 0.000 13.091
Tb 1.913 2.054 8.750
Ga 0.000 0.000 10.205
Ga 1.913 2.054 1.454
Au 0.000 0.000 7.599
Au 0.000 2.054 11.645
Au 0.000 2.054 14.394
Au 1.913 0.000 2.894
Au 1.913 0.000 5.644
Au 1.913 2.054 16.350
```

***

Of them, the most stable is i and the least stable is ii.